P | SnPd4Pb after structural relaxation, computed with PBE.

a = 5.4093 Å, b = 7.8851 Å, c = 5.4672 Å
α = 90.00°, β = 70.65°, γ = 90.00°
Fractional positions:
Pd 0.8986 0.6621 0.1158
Pd 0.1014 0.3379 0.8842
Pd 0.3986 0.8379 0.1158
Pd 0.8848 0.8313 0.6062
Pd 0.6152 0.3313 0.3938
Pd 0.6014 0.1621 0.8842
Pd 0.3848 0.6687 0.6062
Pd 0.1152 0.1687 0.3938
Sn 0.5000 0.0000 0.5000
Sn 0.0000 0.5000 0.5000
Pb 0.5000 0.5000 0.0000
Pb 0.0000 0.0000 0.0000

Output
SG = P2_1/c
magnetic moment = 0.00 μB per atom

Q | SnPd4Pb after structural relaxation, computed with PBE.

a = 5.4281 Å, b = 5.4281 Å, c = 5.4281 Å
α = 60.00°, β = 60.00°, γ = 60.00°
Fractional positions:
Pd 0.6248 0.1257 0.6248
Pd 0.6248 0.6248 0.1257
Pd 0.6248 0.6248 0.6248
Pd 0.1257 0.6248 0.6248
Sn 0.2500 0.2500 0.2500
Pb 0.0000 0.0000 0.0000

Output
SG = F-43m
magnetic moment = 0.00 μB per atom

R | SnPd4Pb after structural relaxation, computed with PBE.

a = 3.3407 Å, b = 7.4528 Å, c = 17.5544 Å
α = 90.00°, β = 90.00°, γ = 90.00°
Fractional positions:
Pb 0.2500 0.2683 0.9439
Pb 0.2500 0.7683 0.5561
Pb 0.7500 0.2317 0.4439
Pb 0.7500 0.7317 0.0561
Sn 0.2500 0.2387 0.1925
Sn 0.7500 0.2613 0.6925
Sn 0.7500 0.7613 0.8075
Sn 0.2500 0.7387 0.3075
Pd 0.2500 0.0328 0.0688
Pd 0.7500 0.4281 0.2960
Pd 0.7500 0.9281 0.2040
Pd 0.7500 0.8578 0.4247
Pd 0.7500 0.4672 0.5688
Pd 0.7500 0.9672 0.9312
Pd 0.2500 0.5328 0.4312
Pd 0.7500 0.3578 0.0753
Pd 0.2500 0.1422 0.5753
Pd 0.2500 0.5944 0.1712
Pd 0.2500 0.6422 0.9247
Pd 0.2500 0.0944 0.3288
Pd 0.7500 0.9056 0.6712
Pd 0.2500 0.0719 0.7960
Pd 0.7500 0.4056 0.8288
Pd 0.2500 0.5719 0.7040

Output
SG = Pnma
magnetic moment = 0.00 μB per atom

Here are the energies relative to the best structure, in meV/atom: P 70; Q 209; R 0.

P | SrPd4Pb after structural relaxation, computed with PBE.

a = 5.5279 Å, b = 5.5279 Å, c = 5.5279 Å
α = 60.00°, β = 60.00°, γ = 60.00°
Fractional positions:
Pb 0.0000 0.0000 0.0000
Pd 0.6256 0.1233 0.6256
Pd 0.1233 0.6256 0.6256
Pd 0.6256 0.6256 0.1233
Pd 0.6256 0.6256 0.6256
Sr 0.2500 0.2500 0.2500

Output
SG = F-43m
magnetic moment = 0.00 μB per atom

Q | SrPd4Pb after structural relaxation, computed with PBE.

a = 4.2019 Å, b = 7.3742 Å, c = 8.1662 Å
α = 90.00°, β = 90.00°, γ = 90.00°
Fractional positions:
Pd 0.5000 0.2878 0.5319
Pd 0.5000 0.7122 0.0319
Pd 0.5000 0.7122 0.4681
Pd 0.5000 0.0331 0.2500
Pd 0.0000 0.0000 0.0000
Pd 0.5000 0.9669 0.7500
Pd 0.5000 0.2878 0.9681
Pd 0.0000 0.0000 0.5000
Sr 0.0000 0.3320 0.2500
Sr 0.0000 0.6680 0.7500
Pb 0.0000 0.7630 0.2500
Pb 0.0000 0.2370 0.7500

Output
SG = Pmma
magnetic moment = 0.00 μB per atom

Here are the energies relative to the best structure, in meV/atom: P 0; Q 124.

P | SrPd4Pb2 after structural relaxation, computed with PBE.

a = 7.3640 Å, b = 7.3640 Å, c = 7.3640 Å
α = 106.25°, β = 111.10°, γ = 111.10°
Fractional positions:
Pd 0.2097 0.5199 0.0199
Pd 0.5000 0.9801 0.1898
Pd 0.5000 0.0199 0.8102
Pd 0.7903 0.8102 0.3103
Pd 0.2097 0.1898 0.6898
Pd 0.7903 0.4801 0.9801
Pd 0.5000 0.3103 0.5199
Pd 0.5000 0.6898 0.4801
Pb 0.5000 0.3464 0.1536
Pb 0.5000 0.6536 0.8464
Pb 0.1928 0.8464 0.3464
Pb 0.8072 0.1536 0.6536
Sr 0.0000 0.2500 0.2500
Sr 0.0000 0.7500 0.7500

Output
SG = I4/mcm
magnetic moment = 0.00 μB per atom

Q | SrPd4Pb2 after structural relaxation, computed with PBE.

a = 4.4399 Å, b = 8.2495 Å, c = 8.2495 Å
α = 90.00°, β = 90.00°, γ = 90.00°
Fractional positions:
Pd 0.0000 0.3531 0.0927
Pd 0.0000 0.0927 0.3531
Pd 0.5000 0.8531 0.4073
Pd 0.5000 0.1469 0.5927
Pd 0.0000 0.9073 0.6469
Pd 0.5000 0.5927 0.1469
Pd 0.5000 0.4073 0.8531
Pd 0.0000 0.6469 0.9073
Pb 0.5000 0.2827 0.2827
Pb 0.5000 0.7173 0.7173
Pb 0.0000 0.7827 0.2173
Pb 0.0000 0.2173 0.7827
Sr 0.0000 0.5000 0.5000
Sr 0.5000 0.0000 0.0000

Output
SG = P4_2/mnm
magnetic moment = 0.00 μB per atom

Here are the energies relative to the best structure, in meV/atom: P 0; Q 78.

P | Sr2Pd3Pb2 after structural relaxation, computed with PBE.

a = 5.6063 Å, b = 7.8631 Å, c = 5.2649 Å
α = 73.36°, β = 57.83°, γ = 69.12°
Fractional positions:
Sr 0.4097 0.8344 0.3461
Sr 0.5903 0.1656 0.6539
Pb 0.1648 0.6149 0.0554
Pb 0.8352 0.3851 0.9446
Pd 0.8192 0.7337 0.6278
Pd 0.1808 0.2663 0.3722
Pd 0.0000 0.0000 0.0000

Output
SG = C2/m
magnetic moment = 0.00 μB per atom

Q | Sr2Pd3Pb2 after structural relaxation, computed with PBE.

a = 4.1649 Å, b = 6.5777 Å, c = 7.5261 Å
α = 113.28°, β = 90.00°, γ = 108.46°
Fractional positions:
Pd 0.4026 0.8053 0.5689
Pd 0.5974 0.1947 0.4311
Pd 0.5000 0.0000 0.0000
Pb 0.1662 0.3323 0.2551
Pb 0.8338 0.6677 0.7449
Sr 0.8854 0.7708 0.2310
Sr 0.1146 0.2292 0.7690

Output
SG = C2/m
magnetic moment = 0.00 μB per atom

Here are the energies relative to the best structure, in meV/atom: P 86; Q 0.

P | Sr3Pd2Pb3 after structural relaxation, computed with PBE.

a = 4.8447 Å, b = 6.2837 Å, c = 16.7479 Å
α = 90.00°, β = 90.00°, γ = 112.67°
Fractional positions:
Pb 0.6541 0.3082 0.7500
Pb 0.3619 0.7238 0.5356
Pb 0.6381 0.2762 0.0356
Pb 0.6381 0.2762 0.4644
Pb 0.3459 0.6918 0.2500
Pb 0.3619 0.7238 0.9644
Sr 0.0746 0.1492 0.6111
Sr 0.0746 0.1492 0.8889
Sr 0.9254 0.8508 0.1111
Sr 0.3572 0.7144 0.7500
Sr 0.9254 0.8508 0.3889
Sr 0.6428 0.2856 0.2500
Pd 0.2123 0.4247 0.3936
Pd 0.7877 0.5753 0.6064
Pd 0.7877 0.5753 0.8936
Pd 0.2123 0.4247 0.1064

Output
SG = Cmcm
magnetic moment = 0.00 μB per atom

Q | Sr3Pd2Pb3 after structural relaxation, computed with PBE.

a = 6.2458 Å, b = 8.9614 Å, c = 16.9262 Å
α = 90.00°, β = 90.00°, γ = 90.00°
Fractional positions:
Sr 0.8854 0.5357 0.8892
Sr 0.3854 0.9643 0.1108
Sr 0.8793 0.8248 0.2500
Sr 0.3793 0.6752 0.7500
Sr 0.6146 0.0357 0.6108
Sr 0.1146 0.4643 0.3892
Sr 0.6146 0.0357 0.8892
Sr 0.8854 0.5357 0.6108
Sr 0.1207 0.1752 0.7500
Sr 0.6207 0.3248 0.2500
Sr 0.3854 0.9643 0.3892
Sr 0.1146 0.4643 0.1108
Pb 0.6134 0.3158 0.0372
Pb 0.3866 0.6842 0.5372
Pb 0.6134 0.3158 0.4628
Pb 0.8882 0.8273 0.7500
Pb 0.3882 0.6727 0.2500
Pb 0.1134 0.1842 0.5372
Pb 0.6118 0.3273 0.7500
Pb 0.1134 0.1842 0.9628
Pb 0.1118 0.1727 0.2500
Pb 0.8866 0.8158 0.4628
Pb 0.8866 0.8158 0.0372
Pb 0.3866 0.6842 0.9628
Pd 0.1156 0.9016 0.6097
Pd 0.3844 0.4016 0.6097
Pd 0.8844 0.0984 0.3903
Pd 0.3844 0.4016 0.8903
Pd 0.6156 0.5984 0.3903
Pd 0.6156 0.5984 0.1097
Pd 0.1156 0.9016 0.8903
Pd 0.8844 0.0984 0.1097

Output
SG = Pnma
magnetic moment = 0.00 μB per atom

Here are the energies relative to the best structure, in meV/atom: P 0; Q 22.

P | Sr2TlPdPb after structural relaxation, computed with PBE.

a = 5.8747 Å, b = 5.8747 Å, c = 5.2000 Å
α = 90.00°, β = 90.00°, γ = 90.00°
Fractional positions:
Sr 0.0000 0.5000 0.0000
Sr 0.5000 0.0000 0.0000
Pb 0.0000 0.0000 0.5000
Tl 0.5000 0.5000 0.5000
Pd 0.0000 0.0000 0.0000

Output
SG = P4/mmm
magnetic moment = 0.00 μB per atom

Q | Sr2TlPdPb after structural relaxation, computed with PBE.

a = 5.7792 Å, b = 5.7792 Å, c = 5.2501 Å
α = 90.00°, β = 90.00°, γ = 90.00°
Fractional positions:
Pb 0.5000 0.5000 0.5000
Tl 0.0000 0.0000 0.5000
Sr 0.0000 0.5000 0.0000
Sr 0.5000 0.0000 0.0000
Pd 0.0000 0.0000 0.0000

Output
SG = P4/mmm
magnetic moment = 0.00 μB per atom

Here are the energies relative to the best structure, in meV/atom: P 0; Q 10.